The following is a DFT calculation (GGA-PBE) of a relaxed Co2Ag crystal.

Computed properties:
Final energy   -5.033 eV per atom
Excess energy over the best structure of this formula in the dataset   386 meV per atom
SG   I4_1/amd (141)

```
12
Lattice="3.491 0.000 0.000 0.000 3.491 0.000 0.000 0.000 14.543" Properties=species:S:1:pos:R:3 pbc="T T T"
Co 0.000 0.873 4.296
Co 0.000 0.873 6.611
Co 0.000 2.618 7.931
Co 0.000 2.618 10.247
Co 1.746 0.873 0.660
Co 1.746 0.873 2.976
Co 1.746 2.618 11.567
Co 1.746 2.618 13.883
Ag 0.000 0.873 12.725
Ag 0.000 2.618 1.818
Ag 1.746 0.873 9.089
Ag 1.746 2.618 5.454
```

=====

The following is a DFT calculation (GGA-PBE) of a relaxed KTlGa crystal.

Computed properties:
Final energy   -2.226 eV per atom
Excess energy over the best structure of this formula in the dataset   31 meV per atom
SG   P2_1/m (11)

```
6
Lattice="6.562 0.000 0.000 0.000 4.354 0.000 -0.209 0.000 7.374" Properties=species:S:1:pos:R:3 pbc="T T T"
K 0.568 1.088 1.870
K 5.785 3.265 5.505
Tl 2.296 1.088 6.113
Tl 4.057 3.265 1.261
Ga 2.591 3.265 4.049
Ga 3.762 1.088 3.326
```

=====

The following is a DFT calculation (GGA-PBE) of a relaxed PmSc2H crystal.

Computed properties:
Final energy   -5.366 eV per atom
SG   R-3m (166)

```
12
Lattice="3.396 0.000 0.000 -1.698 2.941 0.000 0.000 0.000 24.452" Properties=species:S:1:pos:R:3 pbc="T T T"
Pm 0.000 0.000 0.000
Pm 0.000 1.961 16.301
Pm 1.698 0.980 8.151
Sc 0.000 0.000 5.308
Sc 0.000 0.000 19.144
Sc 0.000 1.961 10.994
Sc 0.000 1.961 21.609
Sc 1.698 0.980 2.843
Sc 1.698 0.980 13.458
H 0.000 0.000 12.226
H 0.000 1.961 4.075
H 1.698 0.980 20.376
```

=====

The following is a DFT calculation (GGA-PBE) of a relaxed Ac6Pt2SeI3 crystal.

Computed properties:
Final energy   -4.994 eV per atom
SG   C2/m (12)
Uncorrected formation energy   -1.25 eV per atom

```
12
Lattice="3.966 -6.845 0.000 3.966 6.845 0.000 -2.634 0.000 8.351" Properties=species:S:1:pos:R:3 pbc="T T T"
Ac -0.082 2.423 6.747
Ac 1.159 0.000 1.592
Ac -0.082 -2.423 6.747
Ac 5.379 2.423 1.604
Ac 4.138 0.000 6.759
Ac 5.379 -2.423 1.604
Pt 3.966 4.556 0.000
Pt 3.966 -4.556 0.000
Se 3.966 0.000 0.000
I -1.317 0.000 4.176
I 2.649 2.182 4.176
I 2.649 -2.182 4.176
```

=====

The following is a DFT calculation (GGA-PBE) of a relaxed Li2Dy2ErCd5 crystal.

Computed properties:
Final energy   -2.480 eV per atom
SG   P4/mbm (127)

```
20
Lattice="10.442 0.000 0.000 0.000 10.442 0.000 0.000 0.000 4.147" Properties=species:S:1:pos:R:3 pbc="T T T"
Li 1.204 4.017 0.000
Li 4.017 9.238 0.000
Li 6.425 1.204 0.000
Li 9.238 6.425 0.000
Dy 1.872 7.093 0.000
Dy 3.349 1.872 0.000
Dy 7.093 8.570 0.000
Dy 8.570 3.349 0.000
Er 0.000 0.000 0.000
Er 5.221 5.221 0.000
Cd 0.000 5.221 2.073
Cd 0.640 2.248 2.073
Cd 2.248 9.801 2.073
Cd 2.972 4.580 2.073
Cd 4.580 7.469 2.073
Cd 5.221 0.000 2.073
Cd 5.861 2.972 2.073
Cd 7.469 5.861 2.073
Cd 8.193 0.640 2.073
Cd 9.801 8.193 2.073
```

=====

The following is a DFT calculation (GGA-PBE) of a relaxed Nd4GeAs3 crystal.

Computed properties:
Final energy   -5.994 eV per atom
SG   Pm-3m (221)

```
8
Lattice="6.048 0.000 0.000 0.000 6.048 0.000 0.000 0.000 6.048" Properties=species:S:1:pos:R:3 pbc="T T T"
Nd 0.000 0.000 0.000
Nd 0.000 3.024 3.024
Nd 3.024 0.000 3.024
Nd 3.024 3.024 0.000
Ge 3.024 3.024 3.024
As 0.000 0.000 3.024
As 0.000 3.024 0.000
As 3.024 0.000 0.000
```